Entry from the Alexandria database: a geometry-optimized CrPbClO4 structure (PBE+U).

## Properties
The value obtained for the total energy is -5.670 eV/atom. For the magnetization, the calculation gives 0.000 μB/f.u.

Cell: 10.1443 7.4192 6.9494 Å, 90.00 106.87 90.00°
Space group C2/m (No. 12)
Unique sites:
Cr: 0.1391 0.0000 0.2680 (multiplicity 4)
Pb: 0.2223 0.5000 0.1372 (multiplicity 4)
Cl: 0.0248 0.5000 0.7703 (multiplicity 4)
O: 0.0239 0.0000 0.7339 (multiplicity 4)
O: 0.1771 0.1790 0.1447 (multiplicity 8)
O: 0.2368 0.0000 0.5064 (multiplicity 4)